The following is a DFT calculation (GGA-PBE) of an optimized crystal structure of PWSe.

Cell lengths 7.680, 7.451, 2.953 Å; angles 83.12, 74.43, 22.44 degrees
Atoms (fractional coordinates):
P  0.000  0.000  0.000
W  0.623  0.623  0.377
Se  0.265  0.265  0.735

Output
Relative energy among the computed polymorphs (meV/atom): 467
E_form (uncorrected) (eV/atom): 0.3570